RbAs3Se after structural relaxation, computed with PBE.

- E_form (uncorrected) (eV per atom) = 1.94
- relative energy among the computed polymorphs (meV per atom) = 1492

Lattice parameters (Å, degrees): 5.616 5.616 5.616 90.00 90.00 90.00
Fractional coordinates of all 5 atoms:
Rb  0.000  0.000  0.000
As  0.000  0.000  0.500
As  0.000  0.500  0.000
As  0.500  0.000  0.000
Se  0.500  0.500  0.500